No. 1
## PmTlGa (PBE-GGA)

Data for a relaxed PmTlGa crystal.

Calculated values
The space group is No. 216. For the formation energy, the calculation gives -82 kJ/mol of formula units. Its volume is 81.67 Å³/cell. The value obtained for the total DFT energy (no corrections) is -3.66 eV/atom.

Cell and atoms, written as extended XYZ:
```
3
Lattice="0.000 3.444 3.444 3.444 0.000 3.444 3.444 3.444 0.000" Properties=species:S:1:pos:R:3 pbc="T T T"
Pm 0.000 0.000 0.000
Tl 3.444 3.444 3.444
Ga 1.722 1.722 1.722
```



No. 2
## PmTlGa2 (PBE-GGA)

Data for a relaxed PmTlGa2 crystal.

Calculated values
The space group is No. 123. For the formation energy, the calculation gives -158 kJ/mol of formula units. Its volume is 92.85 Å³/cell. The value obtained for the total DFT energy (no corrections) is -3.70 eV/atom.

Cell and atoms, written as extended XYZ:
```
4
Lattice="4.589 0.000 0.000 0.000 4.589 0.000 0.000 0.000 4.409" Properties=species:S:1:pos:R:3 pbc="T T T"
Pm 0.000 0.000 0.000
Tl 2.295 2.295 0.000
Ga 0.000 2.295 2.205
Ga 2.295 0.000 2.205
```



No. 3
## PmTlGa (PBE-GGA)

Data for a relaxed PmTlGa crystal.

Calculated values
The space group is No. 187. For the formation energy, the calculation gives 96 kJ/mol of formula units. Its volume is 116.32 Å³/cell. The value obtained for the total DFT energy (no corrections) is -3.05 eV/atom.

Cell and atoms, written as extended XYZ:
```
3
Lattice="4.982 0.000 0.000 -2.491 4.314 0.000 0.000 0.000 5.412" Properties=species:S:1:pos:R:3 pbc="T T T"
Pm 0.000 0.000 0.000
Tl 0.000 2.876 2.706
Ga 0.000 2.876 0.000
```



No. 4
## Pm5TlGa4 (PBE-GGA)

Data for a relaxed Pm5TlGa4 crystal.

Calculated values
The space group is No. 123. For the formation energy, the calculation gives -513 kJ/mol of formula units. Its volume is 255.69 Å³/cell. The value obtained for the total DFT energy (no corrections) is -4.35 eV/atom.

Cell and atoms, written as extended XYZ:
```
10
Lattice="3.685 0.000 0.000 0.000 3.685 0.000 0.000 0.000 18.826" Properties=species:S:1:pos:R:3 pbc="T T T"
Pm 0.000 0.000 0.000
Pm 0.000 0.000 3.631
Pm 0.000 0.000 7.293
Pm 0.000 0.000 11.533
Pm 0.000 0.000 15.195
Tl 1.843 1.843 9.413
Ga 1.843 1.843 1.816
Ga 1.843 1.843 5.474
Ga 1.843 1.843 13.352
Ga 1.843 1.843 17.010
```



No. 5
## PmTlGa4 (PBE-GGA)

Data for a relaxed PmTlGa4 crystal.

Calculated values
The space group is No. 216. For the formation energy, the calculation gives -129 kJ/mol of formula units. Its volume is 130.29 Å³/cell. The value obtained for the total DFT energy (no corrections) is -3.43 eV/atom.

Cell and atoms, written as extended XYZ:
```
6
Lattice="0.000 4.024 4.024 4.024 0.000 4.024 4.024 4.024 0.000" Properties=species:S:1:pos:R:3 pbc="T T T"
Pm 0.000 0.000 0.000
Tl 2.012 2.012 2.012
Ga 5.030 3.017 3.017
Ga 3.017 5.030 3.017
Ga 3.017 3.017 5.030
Ga 5.030 5.030 5.030
```



No. 6
## PmTl2Ga (PBE-GGA)

Data for a relaxed PmTl2Ga crystal.

Calculated values
The space group is No. 123. For the formation energy, the calculation gives -129 kJ/mol of formula units. Its volume is 102.47 Å³/cell. The value obtained for the total DFT energy (no corrections) is -3.46 eV/atom.

Cell and atoms, written as extended XYZ:
```
4
Lattice="4.636 0.000 0.000 0.000 4.636 0.000 0.000 0.000 4.768" Properties=species:S:1:pos:R:3 pbc="T T T"
Pm 0.000 0.000 0.000
Tl 0.000 2.318 2.384
Tl 2.318 0.000 2.384
Ga 2.318 2.318 0.000
```



No. 7
## PmTlGa2 (PBE-GGA)

Data for a relaxed PmTlGa2 crystal.

Calculated values
The space group is No. 166. For the formation energy, the calculation gives -93 kJ/mol of formula units. Its volume is 97.12 Å³/cell. The value obtained for the total DFT energy (no corrections) is -3.53 eV/atom.

Cell and atoms, written as extended XYZ:
```
4
Lattice="2.316 1.337 5.225 -2.316 1.337 5.225 0.000 -2.675 5.225" Properties=species:S:1:pos:R:3 pbc="T T T"
Pm 0.000 0.000 0.000
Tl 0.000 0.000 7.837
Ga 0.000 0.000 3.702
Ga 0.000 0.000 11.973
```



No. 8
## PmTlGa (PBE-GGA)

Data for a relaxed PmTlGa crystal.

Calculated values
The space group is No. 107. For the formation energy, the calculation gives -74 kJ/mol of formula units. Its volume is 76.63 Å³/cell. The value obtained for the total DFT energy (no corrections) is -3.64 eV/atom.

Cell and atoms, written as extended XYZ:
```
3
Lattice="-1.783 1.783 6.026 1.783 -1.783 6.026 1.783 1.783 -6.026" Properties=species:S:1:pos:R:3 pbc="T T T"
Pm 0.000 0.000 0.000
Tl 0.000 0.000 8.368
Ga 0.000 0.000 4.106
```



No. 9
## PmTl2Ga (PBE-GGA)

Data for a relaxed PmTl2Ga crystal.

Calculated values
The space group is No. 166. For the formation energy, the calculation gives 52 kJ/mol of formula units. Its volume is 118.42 Å³/cell. The value obtained for the total DFT energy (no corrections) is -2.99 eV/atom.

Cell and atoms, written as extended XYZ:
```
4
Lattice="1.746 1.008 11.210 -1.746 1.008 11.210 0.000 -2.016 11.210" Properties=species:S:1:pos:R:3 pbc="T T T"
Pm 0.000 0.000 0.000
Tl 0.000 0.000 3.192
Tl 0.000 0.000 30.437
Ga 0.000 0.000 16.814
```



No. 10
## Pm5TlGa3 (PBE-GGA)

Data for a relaxed Pm5TlGa3 crystal.

Calculated values
The space group is No. 193. For the formation energy, the calculation gives -382 kJ/mol of formula units. Its volume is 485.96 Å³/cell. The value obtained for the total DFT energy (no corrections) is -4.35 eV/atom.

Cell and atoms, written as extended XYZ:
```
18
Lattice="9.220 0.000 0.000 -4.610 7.985 0.000 0.000 0.000 6.600" Properties=species:S:1:pos:R:3 pbc="T T T"
Pm -1.391 2.409 1.650
Pm -3.219 5.576 4.950
Pm 2.781 0.000 1.650
Pm 1.391 2.409 4.950
Pm 0.000 5.323 0.000
Pm 0.000 5.323 3.300
Pm 4.610 2.662 0.000
Pm 4.610 2.662 3.300
Pm 6.439 0.000 4.950
Pm 3.219 5.576 1.650
Tl 0.000 0.000 0.000
Tl 0.000 0.000 3.300
Ga -1.686 2.921 4.950
Ga -2.924 5.064 1.650
Ga 3.373 0.000 4.950
Ga 1.686 2.921 1.650
Ga 5.848 0.000 1.650
Ga 2.924 5.064 4.950
```



No. 11
## Pm7Tl2Ga (PBE-GGA)

Data for a relaxed Pm7Tl2Ga crystal.

Calculated values
The space group is No. 225. For the formation energy, the calculation gives 291 kJ/mol of formula units. Its volume is 348.70 Å³/cell. The value obtained for the total DFT energy (no corrections) is -3.80 eV/atom.

Cell and atoms, written as extended XYZ:
```
10
Lattice="0.000 5.587 5.587 5.587 0.000 5.587 5.587 5.587 0.000" Properties=species:S:1:pos:R:3 pbc="T T T"
Pm 0.000 0.000 0.000
Pm 5.587 5.587 2.833
Pm 5.587 2.833 5.587
Pm 8.340 5.587 5.587
Pm 2.833 5.587 5.587
Pm 5.587 8.340 5.587
Pm 5.587 5.587 8.340
Tl 2.793 2.793 2.793
Tl 8.380 8.380 8.380
Ga 5.587 5.587 5.587
```



No. 12
## Pm5Tl3Ga (PBE-GGA)

Data for a relaxed Pm5Tl3Ga crystal.

Calculated values
The space group is No. 193. For the formation energy, the calculation gives -345 kJ/mol of formula units. Its volume is 527.77 Å³/cell. The value obtained for the total DFT energy (no corrections) is -4.16 eV/atom.

Cell and atoms, written as extended XYZ:
```
18
Lattice="9.537 0.000 0.000 -4.769 8.260 0.000 0.000 0.000 6.700" Properties=species:S:1:pos:R:3 pbc="T T T"
Pm -1.289 2.232 1.675
Pm -3.480 6.028 5.025
Pm 2.577 0.000 1.675
Pm 1.289 2.232 5.025
Pm 0.000 5.506 0.000
Pm 0.000 5.506 3.350
Pm 4.769 2.753 0.000
Pm 4.769 2.753 3.350
Pm 6.960 0.000 5.025
Pm 3.480 6.028 1.675
Tl -1.810 3.135 5.025
Tl -2.959 5.125 1.675
Tl 3.620 0.000 5.025
Tl 1.810 3.135 1.675
Tl 5.917 0.000 1.675
Tl 2.959 5.125 5.025
Ga 0.000 0.000 0.000
Ga 0.000 0.000 3.350
```



No. 13
## Pm6Tl3Ga (PBE-GGA)

Data for a relaxed Pm6Tl3Ga crystal.

Calculated values
The space group is No. 11. For the formation energy, the calculation gives -240 kJ/mol of formula units. Its volume is 617.32 Å³/cell. The value obtained for the total DFT energy (no corrections) is -4.11 eV/atom.

Cell and atoms, written as extended XYZ:
```
20
Lattice="11.805 0.000 0.000 0.000 3.765 0.000 -4.059 0.000 13.892" Properties=species:S:1:pos:R:3 pbc="T T T"
Pm -0.655 0.941 2.448
Pm -0.452 2.823 5.761
Pm -0.430 0.941 11.561
Pm 2.800 0.941 3.612
Pm 1.749 0.941 8.864
Pm 4.346 2.823 0.609
Pm 3.400 0.941 13.283
Pm 5.997 2.823 5.028
Pm 4.946 2.823 10.279
Pm 8.176 2.823 2.330
Pm 8.197 0.941 8.130
Pm 8.401 2.823 11.444
Tl -1.122 2.823 8.921
Tl 1.620 0.941 0.246
Tl 2.756 2.823 6.303
Tl 4.990 0.941 7.589
Tl 6.126 2.823 13.646
Tl 8.868 0.941 4.970
Ga 2.078 2.823 11.370
Ga 5.667 0.941 2.521
```



No. 14
## PmYTlGa (PBE-GGA)

Data for a relaxed PmYTlGa crystal.

Calculated values
The space group is No. 99. For the formation energy, the calculation gives -186 kJ/mol of formula units. Its volume is 104.13 Å³/cell. The value obtained for the total DFT energy (no corrections) is -4.63 eV/atom.

Cell and atoms, written as extended XYZ:
```
4
Lattice="3.665 0.000 0.000 0.000 3.665 0.000 0.000 0.000 7.752" Properties=species:S:1:pos:R:3 pbc="T T T"
Pm 0.000 0.000 0.000
Y 0.000 0.000 4.140
Tl 1.833 1.833 2.137
Ga 1.833 1.833 5.891
```



No. 15
## PmYTlGa (PBE-GGA)

Data for a relaxed PmYTlGa crystal.

Calculated values
The space group is No. 216. For the formation energy, the calculation gives -175 kJ/mol of formula units. Its volume is 104.93 Å³/cell. The value obtained for the total DFT energy (no corrections) is -4.60 eV/atom.

Cell and atoms, written as extended XYZ:
```
4
Lattice="0.000 3.744 3.744 3.744 0.000 3.744 3.744 3.744 0.000" Properties=species:S:1:pos:R:3 pbc="T T T"
Pm 0.000 0.000 0.000
Y 3.744 3.744 3.744
Tl 1.872 1.872 1.872
Ga 5.615 5.615 5.615
```



No. 16
## Pm2TmGa3 (PBE-GGA)

Data for a relaxed Pm2TmGa3 crystal.

Calculated values
The space group is No. 164. For the formation energy, the calculation gives -326 kJ/mol of formula units. Its volume is 285.12 Å³/cell. The value obtained for the total DFT energy (no corrections) is -4.41 eV/atom.

Cell and atoms, written as extended XYZ:
```
12
Lattice="5.113 0.000 0.000 -2.556 4.428 0.000 0.000 0.000 12.595" Properties=species:S:1:pos:R:3 pbc="T T T"
Pm 0.000 0.000 0.000
Pm 0.000 0.000 6.297
Pm 0.000 2.952 2.161
Pm 2.556 1.476 10.433
Tm 0.000 2.952 8.392
Tm 2.556 1.476 4.202
Ga 0.000 0.000 3.196
Ga 0.000 0.000 9.399
Ga 0.000 2.952 5.279
Ga 0.000 2.952 11.516
Ga 2.556 1.476 1.079
Ga 2.556 1.476 7.316
```



No. 17
## Pm2Tm2Ga (PBE-GGA)

Data for a relaxed Pm2Tm2Ga crystal.

Calculated values
The space group is No. 139. For the formation energy, the calculation gives 189 kJ/mol of formula units. Its volume is 157.47 Å³/cell. The value obtained for the total DFT energy (no corrections) is -3.90 eV/atom.

Cell and atoms, written as extended XYZ:
```
5
Lattice="-2.119 2.119 8.770 2.119 -2.119 8.770 2.119 2.119 -8.770" Properties=species:S:1:pos:R:3 pbc="T T T"
Pm 2.119 0.000 4.385
Pm 0.000 2.119 4.385
Tm 0.000 0.000 1.502
Tm 0.000 0.000 16.037
Ga 0.000 0.000 8.770
```



No. 18
## Pm2Tm3Ga4 (PBE-GGA)

Data for a relaxed Pm2Tm3Ga4 crystal.

Calculated values
The space group is No. 14. For the formation energy, the calculation gives -511 kJ/mol of formula units. Its volume is 451.04 Å³/cell. The value obtained for the total DFT energy (no corrections) is -4.48 eV/atom.

Cell and atoms, written as extended XYZ:
```
18
Lattice="7.900 0.000 0.000 0.000 7.918 0.000 -2.216 0.000 7.210" Properties=species:S:1:pos:R:3 pbc="T T T"
Pm 1.353 1.427 0.541
Pm 0.245 2.532 4.146
Pm 5.439 5.386 3.064
Pm 4.331 6.491 6.669
Tm 1.362 5.349 1.805
Tm 0.254 6.528 5.410
Tm 2.842 0.000 3.605
Tm 3.950 3.959 0.000
Tm 5.431 1.390 1.800
Tm 4.323 2.569 5.405
Ga -1.288 4.198 6.251
Ga -0.180 7.679 2.646
Ga 1.962 0.951 6.321
Ga 3.070 3.008 2.716
Ga 2.614 4.910 4.495
Ga 3.722 6.967 0.889
Ga 5.864 0.239 4.565
Ga 6.972 3.720 0.960
```



No. 19
## Pm5Tm2Ga4 (PBE-GGA)

Data for a relaxed Pm5Tm2Ga4 crystal.

Calculated values
The space group is No. 12. For the formation energy, the calculation gives -152 kJ/mol of formula units. Its volume is 304.88 Å³/cell. The value obtained for the total DFT energy (no corrections) is -4.22 eV/atom.

Cell and atoms, written as extended XYZ:
```
11
Lattice="11.453 -1.774 0.000 11.453 1.774 0.000 -2.561 0.000 7.503" Properties=species:S:1:pos:R:3 pbc="T T T"
Pm 0.000 0.000 0.000
Pm 7.865 0.000 0.657
Pm 6.769 0.000 5.076
Pm 13.577 0.000 2.427
Pm 12.481 0.000 6.845
Tm 3.438 0.000 5.004
Tm 16.908 0.000 2.498
Ga 0.388 0.000 4.323
Ga 10.498 0.000 2.434
Ga 9.848 0.000 5.069
Ga 19.958 0.000 3.180
```



No. 20
## PmTm2Ga2 (PBE-GGA)

Data for a relaxed PmTm2Ga2 crystal.

Calculated values
The space group is No. 11. For the formation energy, the calculation gives -173 kJ/mol of formula units. Its volume is 264.12 Å³/cell. The value obtained for the total DFT energy (no corrections) is -4.31 eV/atom.

Cell and atoms, written as extended XYZ:
```
10
Lattice="5.389 0.000 0.000 0.000 4.034 0.000 -1.331 0.000 12.149" Properties=species:S:1:pos:R:3 pbc="T T T"
Pm 0.619 1.008 2.801
Pm 3.439 3.025 9.348
Tm 0.676 3.025 5.719
Tm 0.709 1.008 10.831
Tm 3.349 3.025 1.318
Tm 3.383 1.008 6.430
Ga 0.714 3.025 0.352
Ga 0.688 1.008 7.942
Ga 3.371 3.025 4.207
Ga 3.345 1.008 11.797
```